Here is crystalline Pm8CoRu2 at its relaxed geometry from the Alexandria database. Energies are from PBE.

Computed properties:
Total energy (eV per atom): -5.878
Energy of formation from the pure elements (eV per atom): -0.09
E above lowest polymorph (meV per atom): 0
Spin magnetization (μB/f.u.): 0.0

Cell lengths 9.2818, 9.2818, 6.9630 Å; angles 105.09, 105.09, 30.69 degrees
Closest atoms and distances in Å follow each position.
Positions (direct):
1 Pm 0.0294 0.0294 0.2928  2 Co 2.97, 1 Ru 3.02
2 Pm 0.2057 0.2057 0.8169  1 Ru 2.81
3 Pm 0.3334 0.3334 0.5319  3 Ru 2.99-3.14, 1 Co 3.05
4 Pm 0.4055 0.4055 0.0460  1 Co 3.16, 2 Ru 3.19, 6 Pm 3.44-3.50
5 Pm 0.5945 0.5945 0.9540  1 Co 3.16, 2 Ru 3.19, 6 Pm 3.44-3.50
6 Pm 0.6666 0.6666 0.4681  3 Ru 2.99-3.14, 1 Co 3.05
7 Pm 0.7943 0.7943 0.1831  1 Ru 2.81
8 Pm 0.9706 0.9706 0.7072  2 Co 2.97, 1 Ru 3.02
9 Co 0.5000 0.5000 0.5000  8 Pm 2.97-3.16
10 Ru 0.1857 0.1857 0.2042  5 Pm 2.81-3.14
11 Ru 0.8143 0.8143 0.7958  5 Pm 2.81-3.14

Here is crystalline PmCoRu at its relaxed geometry from the Alexandria database. Energies are from PBE.

Computed properties:
Total energy (eV per atom): -7.106
Energy of formation from the pure elements (eV per atom): -0.06
E above lowest polymorph (meV per atom): 74
Spin magnetization (μB/f.u.): 1.6

Cell lengths 4.0554, 4.0554, 4.1910 Å; angles 90.00, 90.00, 120.00 degrees
Closest atoms and distances in Å follow each position.
Positions (direct):
1 Pm 0.0000 0.0000 0.0000  6 Co 3.14, 6 Ru 3.14
2 Co 0.3333 0.6667 0.5000  3 Ru 2.34
3 Ru 0.6667 0.3333 0.5000  3 Co 2.34

Here is crystalline Pm2CoRu at its relaxed geometry from the Alexandria database. Energies are from PBE.

Computed properties:
Total energy (eV per atom): -6.515
Energy of formation from the pure elements (eV per atom): -0.04
Spin magnetization (μB/f.u.): 0.4

Cell lengths 6.9326, 6.9326, 6.9326 Å; angles 90.00, 90.00, 90.00 degrees
Closest atoms and distances in Å follow each position.
Positions (direct):
1 Pm 0.2500 0.2500 0.2500  4 Co 3.00, 4 Ru 3.00
2 Pm 0.2500 0.2500 0.7500  4 Co 3.00, 4 Ru 3.00
3 Pm 0.2500 0.7500 0.2500  4 Co 3.00, 4 Ru 3.00
4 Pm 0.2500 0.7500 0.7500  4 Co 3.00, 4 Ru 3.00
5 Pm 0.7500 0.2500 0.2500  4 Co 3.00, 4 Ru 3.00
6 Pm 0.7500 0.2500 0.7500  4 Co 3.00, 4 Ru 3.00
7 Pm 0.7500 0.7500 0.2500  4 Co 3.00, 4 Ru 3.00
8 Pm 0.7500 0.7500 0.7500  4 Co 3.00, 4 Ru 3.00
9 Co 0.0000 0.0000 0.0000  8 Pm 3.00
10 Co 0.0000 0.5000 0.5000  8 Pm 3.00
11 Co 0.5000 0.0000 0.5000  8 Pm 3.00
12 Co 0.5000 0.5000 0.0000  8 Pm 3.00
13 Ru 0.0000 0.0000 0.5000  8 Pm 3.00
14 Ru 0.0000 0.5000 0.0000  8 Pm 3.00
15 Ru 0.5000 0.0000 0.0000  8 Pm 3.00
16 Ru 0.5000 0.5000 0.5000  8 Pm 3.00

Here is crystalline Pm2CoRu at its relaxed geometry from the Alexandria database. Energies are from PBE.

Computed properties:
Total energy (eV per atom): -6.536
Energy of formation from the pure elements (eV per atom): -0.07
Spin magnetization (μB/f.u.): 0.5

Cell lengths 3.4788, 3.4788, 6.8799 Å; angles 90.00, 90.00, 90.00 degrees
Closest atoms and distances in Å follow each position.
Positions (direct):
1 Pm 0.0000 0.0000 0.2483  4 Co 2.99, 4 Ru 3.01
2 Pm 0.0000 0.0000 0.7517  4 Co 2.99, 4 Ru 3.01
3 Co 0.5000 0.5000 0.0000  8 Pm 2.99
4 Ru 0.5000 0.5000 0.5000  8 Pm 3.01

Here is crystalline Pm6CoRu at its relaxed geometry from the Alexandria database. Energies are from PBE.

Computed properties:
Total energy (eV per atom): -5.684
Energy of formation from the pure elements (eV per atom): -0.07
Spin magnetization (μB/f.u.): 0.0

Cell lengths 6.7912, 11.3293, 6.7774 Å; angles 90.00, 108.75, 90.00 degrees
Closest atoms and distances in Å follow each position.
Positions (direct):
1 Pm 0.2413 0.1695 0.2488  1 Co 2.73, 1 Ru 2.78
2 Pm 0.2413 0.8305 0.2488  1 Co 2.73, 1 Ru 2.78
3 Pm 0.2486 0.0000 0.7562  1 Co 2.72, 1 Ru 2.80
4 Pm 0.2514 0.5000 0.2438  1 Co 2.72, 1 Ru 2.80
5 Pm 0.2587 0.3305 0.7512  1 Co 2.73, 1 Ru 2.78
6 Pm 0.2587 0.6695 0.7512  1 Co 2.73, 1 Ru 2.78
7 Pm 0.7413 0.3305 0.2488  1 Co 2.73, 1 Ru 2.78
8 Pm 0.7413 0.6695 0.2488  1 Co 2.73, 1 Ru 2.78
9 Pm 0.7486 0.5000 0.7562  1 Co 2.72, 1 Ru 2.80
10 Pm 0.7514 0.0000 0.2438  1 Co 2.72, 1 Ru 2.80
11 Pm 0.7587 0.1695 0.7512  1 Co 2.73, 1 Ru 2.78
12 Pm 0.7587 0.8305 0.7512  1 Co 2.73, 1 Ru 2.78
13 Co 0.0000 0.0000 0.0000  6 Pm 2.72-2.73
14 Co 0.5000 0.5000 0.0000  6 Pm 2.72-2.73
15 Ru 0.0000 0.5000 0.5000  6 Pm 2.78-2.80
16 Ru 0.5000 0.0000 0.5000  6 Pm 2.78-2.80

Here is crystalline PmCoRu at its relaxed geometry from the Alexandria database. Energies are from PBE.

Computed properties:
Total energy (eV per atom): -6.883
Energy of formation from the pure elements (eV per atom): 0.16
E above lowest polymorph (meV per atom): 297
Spin magnetization (μB/f.u.): 0.0

Cell lengths 6.6462, 6.6462, 5.8874 Å; angles 90.00, 90.00, 90.00 degrees
Closest atoms and distances in Å follow each position.
Positions (direct):
1 Pm 0.2484 0.2484 0.0000  4 Ru 3.02-3.17, 4 Co 3.04-3.14
2 Pm 0.2516 0.7484 0.2500  4 Ru 3.02-3.17, 4 Co 3.04-3.14
3 Pm 0.7484 0.2516 0.7500  4 Ru 3.02-3.17, 4 Co 3.04-3.14
4 Pm 0.7516 0.7516 0.5000  4 Ru 3.02-3.17, 4 Co 3.04-3.14
5 Co 0.1347 0.8653 0.7500  3 Ru 2.26-2.27
6 Co 0.3653 0.3653 0.5000  3 Ru 2.26-2.27
7 Co 0.6347 0.6347 0.0000  3 Ru 2.26-2.27
8 Co 0.8653 0.1347 0.2500  3 Ru 2.26-2.27
9 Ru 0.1236 0.1236 0.5000  3 Co 2.26-2.27
10 Ru 0.3764 0.6236 0.7500  3 Co 2.26-2.27
11 Ru 0.6236 0.3764 0.2500  3 Co 2.26-2.27
12 Ru 0.8764 0.8764 0.0000  3 Co 2.26-2.27

Here is crystalline Pm3Co3Ru at its relaxed geometry from the Alexandria database. Energies are from PBE.

Computed properties:
Total energy (eV per atom): -6.528
Energy of formation from the pure elements (eV per atom): -0.12
Spin magnetization (μB/f.u.): 2.8

Cell lengths 5.6095, 5.6095, 12.7346 Å; angles 90.00, 90.00, 135.81 degrees
Closest atoms and distances in Å follow each position.
Positions (direct):
1 Pm 0.0227 0.9773 0.7500  7 Co 2.90-3.21, 2 Ru 3.19
2 Pm 0.2699 0.7301 0.1042  6 Co 3.00-3.05, 1 Ru 3.10
3 Pm 0.2699 0.7301 0.3958  6 Co 3.00-3.05, 1 Ru 3.10
4 Pm 0.7301 0.2699 0.6042  6 Co 3.00-3.05, 1 Ru 3.10
5 Pm 0.7301 0.2699 0.8958  6 Co 3.00-3.05, 1 Ru 3.10
6 Pm 0.9773 0.0227 0.2500  7 Co 2.90-3.21, 2 Ru 3.19
7 Co 0.3319 0.6681 0.7500  2 Co 2.34
8 Co 0.4377 0.5623 0.5876  2 Co 2.34-2.58, 2 Ru 2.47
9 Co 0.4377 0.5623 0.9124  2 Co 2.34-2.58, 2 Ru 2.47
10 Co 0.5623 0.4377 0.0876  2 Co 2.34-2.58, 2 Ru 2.47
11 Co 0.5623 0.4377 0.4124  2 Co 2.34-2.58, 2 Ru 2.47
12 Co 0.6681 0.3319 0.2500  2 Co 2.34
13 Ru 0.0000 0.0000 0.0000  4 Co 2.47
14 Ru 0.0000 0.0000 0.5000  4 Co 2.47

Here is crystalline Pm5Co2Ru at its relaxed geometry from the Alexandria database. Energies are from PBE.

Computed properties:
Total energy (eV per atom): -6.042
Energy of formation from the pure elements (eV per atom): -0.14
Spin magnetization (μB/f.u.): 0.0

Cell lengths 8.8827, 8.8827, 8.8827 Å; angles 131.41, 131.41, 71.16 degrees
Closest atoms and distances in Å follow each position.
Positions (direct):
1 Pm 0.0000 0.0000 0.0000  4 Co 2.96
2 Pm 0.0366 0.5366 0.8578  3 Co 2.99-3.00, 2 Ru 3.11
3 Pm 0.1789 0.0366 0.5000  3 Co 2.99-3.00, 2 Ru 3.11
4 Pm 0.3211 0.8211 0.8578  3 Co 2.99-3.00, 2 Ru 3.11
5 Pm 0.4634 0.3211 0.5000  3 Co 2.99-3.00, 2 Ru 3.11
6 Pm 0.5000 0.5000 0.0000  4 Co 2.96
7 Pm 0.5366 0.6789 0.5000  3 Co 2.99-3.00, 2 Ru 3.11
8 Pm 0.6789 0.1789 0.1422  3 Co 2.99-3.00, 2 Ru 3.11
9 Pm 0.8211 0.9634 0.5000  3 Co 2.99-3.00, 2 Ru 3.11
10 Pm 0.9634 0.4634 0.1422  3 Co 2.99-3.00, 2 Ru 3.11
11 Co 0.1100 0.3900 0.5000  1 Co 2.27
12 Co 0.3900 0.8900 0.2800  1 Co 2.27
13 Co 0.6100 0.1100 0.7200  1 Co 2.27
14 Co 0.8900 0.6100 0.5000  1 Co 2.27
15 Ru 0.2500 0.2500 0.0000  8 Pm 3.11
16 Ru 0.7500 0.7500 0.0000  8 Pm 3.11

Here is crystalline Pm6CoRu2 at its relaxed geometry from the Alexandria database. Energies are from PBE.

Computed properties:
Total energy (eV per atom): -6.178
Energy of formation from the pure elements (eV per atom): -0.16
Spin magnetization (μB/f.u.): 0.0

Cell lengths 6.6595, 7.4546, 11.7366 Å; angles 90.00, 123.68, 90.00 degrees
Closest atoms and distances in Å follow each position.
Positions (direct):
1 Pm 0.0918 0.0488 0.2461  1 Co 2.72, 2 Ru 2.83-2.85
2 Pm 0.0918 0.4512 0.7461  1 Co 2.72, 2 Ru 2.83-2.85
3 Pm 0.2344 0.6710 0.0709  1 Co 2.66, 1 Ru 2.96
4 Pm 0.2344 0.8290 0.5709  1 Co 2.66, 1 Ru 2.96
5 Pm 0.3991 0.1793 0.0677  1 Co 2.72, 1 Ru 2.87
6 Pm 0.3991 0.3207 0.5677  1 Co 2.72, 1 Ru 2.87
7 Pm 0.6009 0.6793 0.4323  1 Co 2.72, 1 Ru 2.87
8 Pm 0.6009 0.8207 0.9323  1 Co 2.72, 1 Ru 2.87
9 Pm 0.7656 0.1710 0.4291  1 Co 2.66, 1 Ru 2.96
10 Pm 0.7656 0.3290 0.9291  1 Co 2.66, 1 Ru 2.96
11 Pm 0.9082 0.5488 0.2539  1 Co 2.72, 2 Ru 2.83-2.85
12 Pm 0.9082 0.9512 0.7539  1 Co 2.72, 2 Ru 2.83-2.85
13 Co 0.5000 0.0000 0.5000  6 Pm 2.66-2.72
14 Co 0.5000 0.5000 0.0000  6 Pm 2.66-2.72
15 Ru 0.3049 0.1144 0.7649  6 Pm 2.83-3.12
16 Ru 0.3049 0.3856 0.2649  6 Pm 2.83-3.12
17 Ru 0.6951 0.6144 0.7351  6 Pm 2.83-3.12
18 Ru 0.6951 0.8856 0.2351  6 Pm 2.83-3.12

Here is crystalline PmCoSi3Ru at its relaxed geometry from the Alexandria database. Energies are from PBE.

Computed properties:
Total energy (eV per atom): -6.674
ΔE_f (raw) (eV per atom): -0.441
Spin magnetization (μB/f.u.): 0.0

Cell lengths 6.5665, 6.5665, 5.5350 Å; angles 90.00, 90.00, 114.76 degrees
Closest atoms and distances in Å follow each position.
Positions (direct):
1 Pm 0.2421 0.7579 0.7500  2 Si 2.77
2 Pm 0.7579 0.2421 0.2500  2 Si 2.77
3 Co 0.0484 0.9516 0.2500  5 Si 2.08-2.27
4 Co 0.9516 0.0484 0.7500  5 Si 2.08-2.27
5 Si 0.2366 0.7634 0.2500  1 Co 2.08, 1 Ru 2.20
6 Si 0.2425 0.2425 0.0000  2 Co 2.27, 2 Ru 2.40
7 Si 0.2425 0.2425 0.5000  2 Co 2.27, 2 Ru 2.40
8 Si 0.7575 0.7575 0.0000  2 Co 2.27, 2 Ru 2.40
9 Si 0.7575 0.7575 0.5000  2 Co 2.27, 2 Ru 2.40
10 Si 0.7634 0.2366 0.7500  1 Co 2.08, 1 Ru 2.20
11 Ru 0.4359 0.5641 0.2500  5 Si 2.20-2.40
12 Ru 0.5641 0.4359 0.7500  5 Si 2.20-2.40